{
  "formula": "AlCoSb",
  "functional": "PBE",
  "state": "optimized geometry",
  "final_energy_ev_per_atom": -4.938,
  "magmom_total_mub_per_cell": 0.590,
  "lattice": [[3.2042, 0.0000, 0.0000], [-1.6021, 2.7749, 0.0000], [0.0000, 0.0000, 5.8952]],
  "species": ["Al", "Co", "Sb"],
  "frac_coords": [[0.0000, 0.0000, 0.0000], [0.6667, 0.3333, 0.2744], [0.3333, 0.6667, 0.5768]]
}


{
  "formula": "AlCoSb",
  "functional": "PBE",
  "state": "optimized geometry",
  "final_energy_ev_per_atom": -4.970,
  "magmom_total_mub_per_cell": 1.721,
  "lattice": [[3.0048, 0.0000, 0.0000], [0.0000, 3.0048, 0.0000], [0.0000, 0.0000, 11.9225]],
  "species": ["Al", "Al", "Co", "Co", "Sb", "Sb"],
  "frac_coords": [[0.0000, 0.0000, 0.0000], [0.5000, 0.5000, 0.5000], [0.0000, 0.0000, 0.3895], [0.5000, 0.5000, 0.8895], [0.0000, 0.0000, 0.7431], [0.5000, 0.5000, 0.2431]]
}


{
  "formula": "AlCoSb2",
  "functional": "PBE",
  "state": "optimized geometry",
  "final_energy_ev_per_atom": -4.420,
  "magmom_total_mub_per_cell": 1.879,
  "lattice": [[3.9366, 0.0000, 0.0000], [0.0000, 5.2857, 0.0000], [0.0000, 0.0000, 7.7498]],
  "species": ["Al", "Al", "Co", "Co", "Sb", "Sb", "Sb", "Sb"],
  "frac_coords": [[0.0000, 0.0000, 0.0000], [0.5000, 0.5000, 0.5000], [0.0000, 0.0000, 0.5000], [0.5000, 0.5000, 0.0000], [0.0000, 0.5000, 0.2290], [0.0000, 0.5000, 0.7710], [0.5000, 0.0000, 0.2710], [0.5000, 0.0000, 0.7290]]
}


{
  "formula": "AlCoSb2",
  "functional": "PBE",
  "state": "optimized geometry",
  "final_energy_ev_per_atom": -4.360,
  "magmom_total_mub_per_cell": 0.859,
  "lattice": [[4.6241, 0.0000, 0.0000], [0.0000, 4.6241, 0.0000], [0.0000, 0.0000, 3.6468]],
  "species": ["Al", "Co", "Sb", "Sb"],
  "frac_coords": [[0.0000, 0.0000, 0.0000], [0.5000, 0.5000, 0.0000], [0.0000, 0.5000, 0.5000], [0.5000, 0.0000, 0.5000]]
}


{
  "formula": "AlCoSb2",
  "functional": "PBE",
  "state": "optimized geometry",
  "final_energy_ev_per_atom": -4.573,
  "magmom_total_mub_per_cell": 0.000,
  "lattice": [[3.1886, 0.0000, 0.0000], [0.0000, 3.1886, 0.0000], [0.0000, 0.0000, 7.7340]],
  "species": ["Al", "Co", "Sb", "Sb"],
  "frac_coords": [[0.0000, 0.0000, 0.0000], [0.0000, 0.0000, 0.5000], [0.5000, 0.5000, 0.2957], [0.5000, 0.5000, 0.7043]]
}


{
  "formula": "AlCoSb",
  "functional": "PBE",
  "state": "optimized geometry",
  "final_energy_ev_per_atom": -4.848,
  "magmom_total_mub_per_cell": 0.000,
  "lattice": [[5.0029, 0.0000, 0.0000], [0.0000, 5.0208, 0.0000], [0.0000, 0.0000, 7.8525]],
  "species": ["Al", "Al", "Al", "Al", "Co", "Co", "Co", "Co", "Sb", "Sb", "Sb", "Sb"],
  "frac_coords": [[0.0000, 0.0000, 0.0000], [0.0000, 0.5000, 0.5000], [0.5000, 0.0000, 0.5000], [0.5000, 0.5000, 0.0000], [0.0000, 0.0000, 0.6676], [0.0000, 0.5000, 0.1676], [0.5000, 0.0000, 0.1676], [0.5000, 0.5000, 0.6676], [0.0000, 0.0000, 0.3304], [0.0000, 0.5000, 0.8304], [0.5000, 0.0000, 0.8304], [0.5000, 0.5000, 0.3304]]
}


{
  "formula": "AlCoSb2",
  "functional": "PBE",
  "state": "optimized geometry",
  "final_energy_ev_per_atom": -4.391,
  "magmom_total_mub_per_cell": 2.081,
  "lattice": [[6.3283, 0.0000, 0.0000], [0.0000, 7.6213, 0.0000], [-0.7911, 0.0000, 3.3023]],
  "species": ["Al", "Al", "Co", "Co", "Sb", "Sb", "Sb", "Sb"],
  "frac_coords": [[0.0000, 0.0000, 0.0000], [0.5000, 0.5000, 0.0000], [0.0000, 0.5000, 0.0000], [0.5000, 0.0000, 0.0000], [0.2500, 0.2500, 0.5000], [0.2500, 0.7500, 0.5000], [0.7500, 0.2500, 0.5000], [0.7500, 0.7500, 0.5000]]
}


{
  "formula": "AlCoSb4",
  "functional": "PBE",
  "state": "optimized geometry",
  "final_energy_ev_per_atom": -3.747,
  "magmom_total_mub_per_cell": 2.413,
  "lattice": [[0.0000, 4.3564, 4.3564], [4.3564, 0.0000, 4.3564], [4.3564, 4.3564, 0.0000]],
  "species": ["Al", "Co", "Sb", "Sb", "Sb", "Sb"],
  "frac_coords": [[0.0000, 0.0000, 0.0000], [0.7500, 0.7500, 0.7500], [0.3749, 0.3749, 0.3749], [0.3749, 0.3749, 0.8754], [0.3749, 0.8754, 0.3749], [0.8754, 0.3749, 0.3749]]
}